No. 1
VASP calculation (PBE) on a relaxed Rb2Ga2Sn3 crystal.

Output
Calculated formation energy ... -0.100 eV/atom
Energy ... -20.7 eV for the cell shown
DOS(E_F) ... 0.521 states/eV/atom

Unit cell a=4.635 b=6.807 c=8.296 alpha=116.53 beta=90.00 gamma=109.91
Sites, in units of the cell vectors:
Rb  0.844  0.687  0.192
Rb  0.156  0.313  0.808
Sn  0.601  0.202  0.440
Sn  0.399  0.798  0.560
Sn  0.500  0.000  0.000
Ga  0.152  0.303  0.279
Ga  0.848  0.697  0.721

***

No. 2
VASP calculation (PBE) on a relaxed RbGa2Sn3 crystal.

Output
Calculated formation energy ... -0.035 eV/atom
Energy ... -38.5 eV for the cell shown
DOS(E_F) ... 0.202 states/eV/atom

Unit cell a=4.434 b=9.939 c=9.928 alpha=59.73 beta=77.10 gamma=77.11
Sites, in units of the cell vectors:
Ga  0.500  0.142  0.859
Ga  0.147  0.353  0.353
Ga  0.853  0.647  0.647
Ga  0.500  0.858  0.141
Sn  0.000  0.326  0.674
Sn  0.000  0.674  0.326
Sn  0.352  0.832  0.464
Sn  0.648  0.168  0.536
Sn  0.649  0.536  0.166
Sn  0.351  0.464  0.834
Rb  0.156  0.844  0.843
Rb  0.844  0.156  0.157

***

No. 3
VASP calculation (PBE) on a relaxed Rb3Ga4Sn2 crystal.

Output
Calculated formation energy ... -0.068 eV/atom
Energy ... -23.6 eV for the cell shown
DOS(E_F) ... 0.430 states/eV/atom

Unit cell a=4.653 b=7.391 c=10.032 alpha=68.69 beta=76.73 gamma=71.66
Sites, in units of the cell vectors:
Sn  0.679  0.412  0.230
Sn  0.321  0.588  0.770
Ga  0.297  0.337  0.066
Ga  0.934  0.495  0.637
Ga  0.066  0.505  0.363
Ga  0.703  0.663  0.934
Rb  0.000  0.000  0.000
Rb  0.634  0.102  0.630
Rb  0.366  0.898  0.370

***

No. 4
VASP calculation (PBE) on a relaxed Rb2Ga5Sn3 crystal.

Output
Calculated formation energy ... -0.120 eV/atom
Energy ... -30.3 eV for the cell shown
DOS(E_F) ... 0.292 states/eV/atom
Distance to the lowest polymorph of the same formula ... 29.7 meV/atom

Unit cell a=4.928 b=4.928 c=11.482 alpha=90.00 beta=90.00 gamma=90.00
Sites, in units of the cell vectors:
Ga  0.500  0.000  0.893
Ga  0.000  0.000  0.000
Ga  0.500  0.500  0.500
Ga  0.500  0.500  0.000
Ga  0.000  0.500  0.107
Sn  0.500  0.000  0.644
Sn  0.000  0.500  0.356
Sn  0.000  0.000  0.500
Rb  0.000  0.500  0.762
Rb  0.500  0.000  0.238

***

No. 5
VASP calculation (PBE) on a relaxed RbGaSn3 crystal.

Output
Calculated formation energy ... -0.135 eV/atom
Energy ... -16.7 eV for the cell shown
DOS(E_F) ... 0.365 states/eV/atom
Distance to the lowest polymorph of the same formula ... 0.0 meV/atom

Unit cell a=5.268 b=5.267 c=6.704 alpha=66.89 beta=66.90 gamma=90.04
Sites, in units of the cell vectors:
Ga  0.035  0.839  0.635
Sn  0.785  0.588  0.135
Sn  0.645  0.948  0.416
Sn  0.145  0.448  0.416
Rb  0.398  0.202  0.909

***

No. 6
VASP calculation (PBE) on a relaxed RbGa4Sn crystal.

Output
Calculated formation energy ... -0.071 eV/atom
Energy ... -70.0 eV for the cell shown
DOS(E_F) ... 0.315 states/eV/atom
Distance to the lowest polymorph of the same formula ... 0.0 meV/atom

Unit cell a=4.547 b=8.447 c=16.702 alpha=90.00 beta=90.00 gamma=90.00
Sites, in units of the cell vectors:
Ga  0.500  0.792  0.187
Ga  0.500  0.488  0.194
Ga  0.500  0.512  0.806
Ga  0.500  0.012  0.694
Ga  0.500  0.863  0.036
Ga  0.500  0.137  0.964
Ga  0.500  0.988  0.306
Ga  0.500  0.292  0.313
Ga  0.500  0.612  0.950
Ga  0.500  0.637  0.536
Ga  0.500  0.208  0.813
Ga  0.500  0.363  0.464
Ga  0.500  0.888  0.450
Ga  0.500  0.708  0.687
Ga  0.500  0.388  0.050
Ga  0.500  0.112  0.550
Rb  0.000  0.867  0.849
Rb  0.000  0.133  0.151
Rb  0.000  0.633  0.349
Rb  0.000  0.367  0.651
Sn  0.000  0.858  0.591
Sn  0.000  0.642  0.091
Sn  0.000  0.358  0.909
Sn  0.000  0.142  0.409

***

No. 7
VASP calculation (PBE) on a relaxed RbGa2Sn6 crystal.

Output
Calculated formation energy ... -0.019 eV/atom
Energy ... -31.2 eV for the cell shown
DOS(E_F) ... 0.570 states/eV/atom

Unit cell a=4.883 b=4.883 c=10.742 alpha=90.00 beta=90.00 gamma=90.00
Sites, in units of the cell vectors:
Ga  0.500  0.500  0.127
Ga  0.500  0.500  0.873
Sn  0.000  0.500  0.715
Sn  0.000  0.500  0.285
Sn  0.500  0.000  0.285
Sn  0.500  0.000  0.715
Sn  0.500  0.500  0.500
Sn  0.000  0.000  0.500
Rb  0.000  0.000  0.000

***

No. 8
VASP calculation (PBE) on a relaxed RbGaSn4 crystal.

Output
Calculated formation energy ... 0.067 eV/atom
Energy ... -19.6 eV for the cell shown
DOS(E_F) ... 0.942 states/eV/atom
Distance to the lowest polymorph of the same formula ... 108.5 meV/atom

Unit cell a=6.372 b=6.372 c=6.372 alpha=60.00 beta=60.00 gamma=60.00
Sites, in units of the cell vectors:
Rb  0.250  0.250  0.250
Sn  0.625  0.124  0.625
Sn  0.625  0.625  0.124
Sn  0.124  0.625  0.625
Sn  0.625  0.625  0.625
Ga  0.000  0.000  0.000